1.
# Zn3ReHg

A relaxed Zn3ReHg crystal (PBEsol, Alexandria).

Results
- Spin magnetization: 1.0 μB per cell
- Energy of formation: 1051 meV/atom

Cell: 4.8123 4.8123 4.8123 Å, 90.00 90.00 90.00°
Positions (direct):
Re  0.0000  0.0000  0.0000
Zn  0.0000  0.5000  0.0000
Zn  0.0000  0.0000  0.5000
Zn  0.5000  0.0000  0.0000
Hg  0.5000  0.5000  0.5000

2.
# ZnReHg2

A relaxed ZnReHg2 crystal (PBEsol, Alexandria).

Results
- Spin magnetization: 0.0 μB per cell
- Energy of formation: 544 meV/atom

Cell: 2.9315 2.9315 9.3590 Å, 80.99 80.99 60.00°
Positions (direct):
Hg  0.2521  0.2521  0.2437
Hg  0.7479  0.7479  0.7563
Re  0.5000  0.5000  0.5000
Zn  0.0000  0.0000  0.0000